# Na3AgPb

An optimized crystal structure of Na3AgPb (GGA-PBE, Alexandria via LeMat-Bulk).

ΔE_f = 0.18 eV/atom
VASP energy = -1.92 eV/atom

abc: 5.5025 5.5025 5.5025
angles: 90.00 90.00 90.00
Sites, in units of the cell vectors:
Na  0.0000  0.0000  0.5000
Na  0.0000  0.5000  0.0000
Na  0.5000  0.0000  0.0000
Ag  0.0000  0.0000  0.0000
Pb  0.5000  0.5000  0.5000


# NaAg2Pb2

An optimized crystal structure of NaAg2Pb2 (GGA-PBE, Alexandria via LeMat-Bulk).

ΔE_f = 0.05 eV/atom
VASP energy = -2.84 eV/atom

abc: 4.9575 4.9575 6.1873
angles: 101.82 101.82 103.25
Sites, in units of the cell vectors:
Na  0.0000  0.0000  0.0000
Ag  0.1868  0.8132  0.5000
Ag  0.8132  0.1868  0.5000
Pb  0.4232  0.4232  0.7336
Pb  0.5768  0.5768  0.2664


# NaAg2Pb2

An optimized crystal structure of NaAg2Pb2 (GGA-PBE, Alexandria via LeMat-Bulk).

ΔE_f = 0.00 eV/atom
VASP energy = -2.89 eV/atom

abc: 8.4630 8.4630 3.5593
angles: 90.00 90.00 90.00
Sites, in units of the cell vectors:
Na  0.0000  0.0000  0.0000
Na  0.5000  0.5000  0.0000
Ag  0.1281  0.3719  0.0000
Ag  0.3719  0.8719  0.0000
Ag  0.6281  0.1281  0.0000
Ag  0.8719  0.6281  0.0000
Pb  0.1672  0.6672  0.5000
Pb  0.3328  0.1672  0.5000
Pb  0.6672  0.8328  0.5000
Pb  0.8328  0.3328  0.5000


- What is the VASP energy in the first record?
  -1.92 eV/atom